# NbBiSe2 (PBE, optimized geometry)
# **Raw formation energy**: 0.36 eV per atom
# **V**: 26.1 A^3/atom
# **Crystal system**: trigonal
# **Total energy**: -4.87 eV/atom
data_NbBiSe2
_cell_length_a 3.6234
_cell_length_b 3.6234
_cell_length_c 27.5733
_cell_angle_alpha 90.00
_cell_angle_beta 90.00
_cell_angle_gamma 120.00
_space_group_name_H-M_alt 'R -3 m'
_space_group_IT_number 166
_space_group_name_Hall '-R 3 2"'
loop_
_atom_site_label
_atom_site_fract_x
_atom_site_fract_y
_atom_site_fract_z
_atom_site_occupancy
Nb1 0.0000 0.0000 0.0000 1
Bi1 0.0000 0.0000 0.5000 1
Se1 0.0000 0.0000 0.0887 1